Arrangement i

Density functional theory data (PBE) for a relaxed USnH crystal.

abc: 6.175 6.175 6.175
angles: 150.71 150.71 41.90
Atoms (fractional coordinates):
U1 0.000 0.000 0.000
Sn1 0.279 0.279 0.000
H1 0.556 0.556 0.000

***

Arrangement ii

Density functional theory data (PBE) for a relaxed USnH crystal.

abc: 3.540 5.689 6.134
angles: 116.33 102.88 95.53
Atoms (fractional coordinates):
U1 0.000 0.000 0.000
U2 0.353 0.389 0.974
Sn1 0.148 0.832 0.456
Sn2 0.688 0.391 0.508
H1 0.474 0.777 0.997
H2 0.759 0.173 0.777

***

Most stable: arrangement ii. Least stable: arrangement i.